Entry 1:
# YReSb

A relaxed structure of YReSb (PBE-GGA, Alexandria).

Results
Uncorrected formation energy (eV per atom): -0.045
Polymorph energy (0 for the lowest one) (meV per atom): 0
Symmetry: No. 107
V (Å³/cell): 65

Lattice parameters (Å, degrees): 6.0875 6.0875 6.0875 147.40 147.40 46.77
Closest atoms and distances in Å follow each position.
Fractional positions:
Y 0.0000 0.0000 0.0000  4 Re 3.08, 5 Sb 3.24-3.37, 4 Y 3.42
Re 0.6712 0.6712 0.0000  4 Sb 2.75, 4 Y 3.08
Sb 0.2896 0.2896 0.0000  4 Re 2.75



Entry 2:
# NdEr2CdPd4

A relaxed structure of NdEr2CdPd4 (PBE-GGA, Alexandria).

Results
Symmetry: No. 166
V (Å³/cell): 167
Formation enthalpy at 0 K (eV per formula unit): -6.149

Lattice parameters (Å, degrees): 8.5064 8.5064 8.5064 33.48 33.48 33.48
Closest atoms and distances in Å follow each position.
Fractional positions:
Nd 0.0000 0.0000 0.0000  8 Pd 2.95-3.03
Er 0.2423 0.2423 0.2423  7 Pd 2.88-3.04
Er 0.7577 0.7577 0.7577  7 Pd 2.88-3.04
Cd 0.5000 0.5000 0.5000  8 Pd 2.92-3.02
Pd 0.1227 0.1227 0.1227  4 Er 2.88-2.93, 1 Nd 2.95, 3 Cd 3.02
Pd 0.3786 0.3786 0.3786  1 Cd 2.92, 3 Nd 3.03, 3 Er 3.04
Pd 0.6214 0.6214 0.6214  1 Cd 2.92, 3 Nd 3.03, 3 Er 3.04
Pd 0.8773 0.8773 0.8773  4 Er 2.88-2.93, 1 Nd 2.95, 3 Cd 3.02



Entry 3:
# Ba2Mg3Pb5

A relaxed structure of Ba2Mg3Pb5 (PBE-GGA, Alexandria).

Results
Polymorph energy (0 for the lowest one) (meV per atom): 125
Symmetry: No. 115
V (Å³/cell): 341
Formation enthalpy at 0 K (eV per formula unit): -2.023

Lattice parameters (Å, degrees): 5.2674 5.2674 12.3070 90.00 90.00 90.00
Closest atoms and distances in Å follow each position.
Fractional positions:
Ba 0.0000 0.5000 0.2430  10 Pb 3.95-4.12, 7 Mg 3.98-4.41
Ba 0.5000 0.0000 0.7570  10 Pb 3.95-4.12, 7 Mg 3.98-4.41
Mg 0.0000 0.0000 0.0000  4 Mg 2.99
Mg 0.0000 0.5000 0.8845  3 Pb 2.88-2.99, 2 Mg 2.99
Mg 0.5000 0.0000 0.1155  3 Pb 2.88-2.99, 2 Mg 2.99
Pb 0.0000 0.0000 0.5000  4 Pb 3.22
Pb 0.0000 0.5000 0.6504  1 Mg 2.88, 4 Pb 3.22
Pb 0.5000 0.0000 0.3496  1 Mg 2.88, 4 Pb 3.22
Pb 0.5000 0.5000 0.0000  4 Mg 2.99
Pb 0.5000 0.5000 0.5000  4 Pb 3.22